[1]
DFT (GGA-PBE) results for a geometry-optimized SrBH2Au structure.

Total energy (eV/atom): -2.605

Structure (CIF):
```
data_SrBH2Au
_chemical_formula_sum 'Sr1 B1 H2 Au1'
_cell_length_a 4.152
_cell_length_b 4.152
_cell_length_c 6.358
_cell_angle_alpha 90.00
_cell_angle_beta 90.00
_cell_angle_gamma 90.00
_symmetry_space_group_name_H-M 'P 4/m m m'
_symmetry_Int_Tables_number 123
_symmetry_space_group_name_Hall '-P 4 2'
loop_
_atom_site_label
_atom_site_type_symbol
_atom_site_fract_x
_atom_site_fract_y
_atom_site_fract_z
Sr1 Sr 0.000 0.000 0.000
B1 B 0.500 0.500 0.500
H1 H 0.000 0.500 0.000
Au1 Au 0.000 0.000 0.500
```



[2]
DFT (GGA-PBE) results for a geometry-optimized PmNd4Ho2Tm structure.

Total energy (eV/atom): -4.664

Structure (CIF):
```
data_PmNd4Ho2Tm
_chemical_formula_sum 'Pm1 Nd4 Ho2 Tm1'
_cell_length_a 6.259
_cell_length_b 3.628
_cell_length_c 11.905
_cell_angle_alpha 90.00
_cell_angle_beta 100.21
_cell_angle_gamma 90.00
_symmetry_space_group_name_H-M 'P 1 2/m 1'
_symmetry_Int_Tables_number 10
_symmetry_space_group_name_Hall '-P 2y'
loop_
_atom_site_label
_atom_site_type_symbol
_atom_site_fract_x
_atom_site_fract_y
_atom_site_fract_z
Pm1 Pm 0.000 0.000 0.000
Nd1 Nd 0.249 0.000 0.748
Nd2 Nd 0.251 0.500 0.253
Ho1 Ho 0.500 0.000 0.500
Ho2 Ho 0.500 0.500 0.000
Tm1 Tm 0.000 0.500 0.500
```



[3]
DFT (GGA-PBE) results for a geometry-optimized Rb2CaNi structure.

Total energy (eV/atom): -1.945

Structure (CIF):
```
data_Rb2CaNi
_chemical_formula_sum 'Rb8 Ca4 Ni4'
_cell_length_a 12.851
_cell_length_b 12.851
_cell_length_c 5.291
_cell_angle_alpha 90.00
_cell_angle_beta 90.00
_cell_angle_gamma 90.00
_symmetry_space_group_name_H-M 'I -4 2 d'
_symmetry_Int_Tables_number 122
_symmetry_space_group_name_Hall 'I -4 2bw'
loop_
_atom_site_label
_atom_site_type_symbol
_atom_site_fract_x
_atom_site_fract_y
_atom_site_fract_z
Rb1 Rb 0.097 0.250 0.125
Ca1 Ca 0.000 0.000 0.500
Ni1 Ni 0.000 0.000 0.000
```



[4]
DFT (GGA-PBE) results for a geometry-optimized TlOsRu2 structure.

Total energy (eV/atom): -7.206

Structure (CIF):
```
data_TlOsRu2
_chemical_formula_sum 'Tl1 Os1 Ru2'
_cell_length_a 4.077
_cell_length_b 4.077
_cell_length_c 3.839
_cell_angle_alpha 90.00
_cell_angle_beta 90.00
_cell_angle_gamma 90.00
_symmetry_space_group_name_H-M 'P 4/m m m'
_symmetry_Int_Tables_number 123
_symmetry_space_group_name_Hall '-P 4 2'
loop_
_atom_site_label
_atom_site_type_symbol
_atom_site_fract_x
_atom_site_fract_y
_atom_site_fract_z
Tl1 Tl 0.000 0.000 0.000
Os1 Os 0.500 0.500 0.000
Ru1 Ru 0.000 0.500 0.500
```



[5]
DFT (GGA-PBE) results for a geometry-optimized La2Pr9In structure.

Total energy (eV/atom): -4.703

Structure (CIF):
```
data_La2Pr9In
_chemical_formula_sum 'La2 Pr9 In1'
_cell_length_a 5.138
_cell_length_b 5.138
_cell_length_c 15.823
_cell_angle_alpha 90.00
_cell_angle_beta 90.00
_cell_angle_gamma 90.00
_symmetry_space_group_name_H-M 'P 4/m m m'
_symmetry_Int_Tables_number 123
_symmetry_space_group_name_Hall '-P 4 2'
loop_
_atom_site_label
_atom_site_type_symbol
_atom_site_fract_x
_atom_site_fract_y
_atom_site_fract_z
La1 La 0.000 0.000 0.170
Pr1 Pr 0.000 0.500 0.000
Pr2 Pr 0.000 0.500 0.341
Pr3 Pr 0.500 0.500 0.171
Pr4 Pr 0.500 0.500 0.500
In1 In 0.000 0.000 0.500
```



[6]
DFT (GGA-PBE) results for a geometry-optimized CaDyP2 structure.

Total energy (eV/atom): -5.540

Structure (CIF):
```
data_CaDyP2
_chemical_formula_sum 'Ca3 Dy3 P6'
_cell_length_a 4.0277
_cell_length_b 4.0277
_cell_length_c 20.3793
_cell_angle_alpha 90.00
_cell_angle_beta 90.00
_cell_angle_gamma 120.00
_symmetry_space_group_name_H-M 'R -3 m'
_symmetry_Int_Tables_number 166
_symmetry_space_group_name_Hall '-R 3 2"'
loop_
_atom_site_label
_atom_site_type_symbol
_atom_site_fract_x
_atom_site_fract_y
_atom_site_fract_z
Ca1 Ca 0.0000 0.0000 0.0000
Dy1 Dy 0.0000 0.0000 0.5000
P1 P 0.0000 0.0000 0.2453
```



[7]
DFT (GGA-PBE) results for a geometry-optimized Ba2Na8Sr structure.

Total energy (eV/atom): -1.393

Structure (CIF):
```
data_Ba2Na8Sr
_chemical_formula_sum 'Ba4 Na16 Sr2'
_cell_length_a 20.001
_cell_length_b 7.309
_cell_length_c 6.756
_cell_angle_alpha 90.00
_cell_angle_beta 90.39
_cell_angle_gamma 90.00
_symmetry_space_group_name_H-M 'C 1 2/m 1'
_symmetry_Int_Tables_number 12
_symmetry_space_group_name_Hall '-C 2y'
loop_
_atom_site_label
_atom_site_type_symbol
_atom_site_fract_x
_atom_site_fract_y
_atom_site_fract_z
Ba1 Ba 0.194 0.000 0.001
Na1 Na 0.000 0.000 0.250
Na2 Na 0.099 0.500 0.001
Na3 Na 0.166 0.265 0.501
Sr1 Sr 0.000 0.500 0.500
```



[8]
DFT (GGA-PBE) results for a geometry-optimized Mg2TlInFe structure.

Total energy (eV/atom): -2.390

Structure (CIF):
```
data_Mg2TlInFe
_chemical_formula_sum 'Mg2 Tl1 In1 Fe1'
_cell_length_a 5.283
_cell_length_b 5.283
_cell_length_c 5.904
_cell_angle_alpha 90.00
_cell_angle_beta 90.00
_cell_angle_gamma 90.00
_symmetry_space_group_name_H-M 'P 4/m m m'
_symmetry_Int_Tables_number 123
_symmetry_space_group_name_Hall '-P 4 2'
loop_
_atom_site_label
_atom_site_type_symbol
_atom_site_fract_x
_atom_site_fract_y
_atom_site_fract_z
Mg1 Mg 0.000 0.500 0.000
Tl1 Tl 0.000 0.000 0.500
In1 In 0.000 0.000 0.000
Fe1 Fe 0.500 0.500 0.500
```



[9]
DFT (GGA-PBE) results for a geometry-optimized MgTcSnP structure.

Total energy (eV/atom): -5.552

Structure (CIF):
```
data_MgTcSnP
_chemical_formula_sum 'Mg1 Tc1 Sn1 P1'
_cell_length_a 3.164
_cell_length_b 3.164
_cell_length_c 7.275
_cell_angle_alpha 90.00
_cell_angle_beta 90.00
_cell_angle_gamma 90.00
_symmetry_space_group_name_H-M 'P 4 m m'
_symmetry_Int_Tables_number 99
_symmetry_space_group_name_Hall 'P 4 -2'
loop_
_atom_site_label
_atom_site_type_symbol
_atom_site_fract_x
_atom_site_fract_y
_atom_site_fract_z
Mg1 Mg 0.000 0.000 0.000
Tc1 Tc 0.500 0.500 0.257
Sn1 Sn 0.500 0.500 0.672
P1 P 0.000 0.000 0.384
```



[10]
DFT (GGA-PBE) results for a geometry-optimized Y2PCl structure.

Total energy (eV/atom): -6.296
E_form (uncorrected) (eV/atom): -1.250

Structure (CIF):
```
data_Y2PCl
_chemical_formula_sum 'Y8 P4 Cl4'
_cell_length_a 6.946
_cell_length_b 6.946
_cell_length_c 6.946
_cell_angle_alpha 90.00
_cell_angle_beta 90.00
_cell_angle_gamma 90.00
_symmetry_space_group_name_H-M 'F m -3 m'
_symmetry_Int_Tables_number 225
_symmetry_space_group_name_Hall '-F 4 2 3'
loop_
_atom_site_label
_atom_site_type_symbol
_atom_site_fract_x
_atom_site_fract_y
_atom_site_fract_z
Y1 Y 0.250 0.250 0.250
P1 P 0.000 0.000 0.000
Cl1 Cl 0.000 0.000 0.500
```



[11]
DFT (GGA-PBE) results for a geometry-optimized Li5ScCd4 structure.

Total energy (eV/atom): -2.119

Structure (CIF):
```
data_Li5ScCd4
_chemical_formula_sum 'Li5 Sc1 Cd4'
_cell_length_a 3.414
_cell_length_b 3.414
_cell_length_c 16.199
_cell_angle_alpha 90.00
_cell_angle_beta 90.00
_cell_angle_gamma 90.00
_symmetry_space_group_name_H-M 'P 4/m m m'
_symmetry_Int_Tables_number 123
_symmetry_space_group_name_Hall '-P 4 2'
loop_
_atom_site_label
_atom_site_type_symbol
_atom_site_fract_x
_atom_site_fract_y
_atom_site_fract_z
Li1 Li 0.000 0.000 0.000
Li2 Li 0.000 0.000 0.196
Li3 Li 0.000 0.000 0.384
Sc1 Sc 0.500 0.500 0.500
Cd1 Cd 0.500 0.500 0.100
Cd2 Cd 0.500 0.500 0.298
```



[12]
DFT (GGA-PBE) results for a geometry-optimized CeThTl2 structure.

Total energy (eV/atom): -4.609

Structure (CIF):
```
data_CeThTl2
_chemical_formula_sum 'Ce3 Th3 Tl6'
_cell_length_a 3.4478
_cell_length_b 3.4478
_cell_length_c 33.8548
_cell_angle_alpha 90.00
_cell_angle_beta 90.00
_cell_angle_gamma 120.00
_symmetry_space_group_name_H-M 'R -3 m'
_symmetry_Int_Tables_number 166
_symmetry_space_group_name_Hall '-R 3 2"'
loop_
_atom_site_label
_atom_site_type_symbol
_atom_site_fract_x
_atom_site_fract_y
_atom_site_fract_z
Ce1 Ce 0.0000 0.0000 0.0000
Th1 Th 0.0000 0.0000 0.5000
Tl1 Tl 0.0000 0.0000 0.2511
```



[13]
DFT (GGA-PBE) results for a geometry-optimized CaTlSn structure.

Total energy (eV/atom): -3.095

Structure (CIF):
```
data_CaTlSn
_chemical_formula_sum 'Ca2 Tl2 Sn2'
_cell_length_a 3.978
_cell_length_b 3.978
_cell_length_c 11.101
_cell_angle_alpha 90.00
_cell_angle_beta 90.00
_cell_angle_gamma 90.00
_symmetry_space_group_name_H-M 'I 4 m m'
_symmetry_Int_Tables_number 107
_symmetry_space_group_name_Hall 'I 4 -2'
loop_
_atom_site_label
_atom_site_type_symbol
_atom_site_fract_x
_atom_site_fract_y
_atom_site_fract_z
Ca1 Ca 0.000 0.000 0.000
Tl1 Tl 0.000 0.000 0.681
Sn1 Sn 0.000 0.000 0.322
```